Entry 1:
CdAgAs2 | PBE-GGA | relaxed

Unit cell a=4.2655 b=4.2655 c=8.8727 alpha=90.00 beta=90.00 gamma=90.00
Closest atoms and distances in Å follow each position.
Space group I-4m2 (No. 119)
One atom of each set of equivalent atoms:
Cd1 0.0000 0.0000 0.0000 (multiplicity 2)  8 As 3.02-3.08, 4 Ag 3.08
Ag1 0.0000 0.5000 0.7500 (multiplicity 2)  8 As 3.02-3.08, 4 Cd 3.08
As1 0.0000 0.0000 0.5000 (multiplicity 2)  4 Cd 3.02, 4 As 3.08, 4 Ag 3.08
As2 0.0000 0.5000 0.2500 (multiplicity 2)  4 Ag 3.02, 4 Cd 3.08, 4 As 3.08

Values from the calculation:
energy of formation	5.49	kcal/mol of atoms

***

Entry 2:
La2SmHfP4 | PBE-GGA | relaxed

Unit cell a=7.0374 b=4.0554 c=7.0817 alpha=90.00 beta=109.10 gamma=90.00
Closest atoms and distances in Å follow each position.
Space group P2/m (No. 10)
One atom of each set of equivalent atoms:
La1 0.0000 0.0000 0.0000 (multiplicity 1)  6 P 3.03
La2 0.5000 0.5000 0.0000 (multiplicity 1)  6 P 2.91-2.92
Sm1 0.0000 0.5000 0.5000 (multiplicity 1)  6 P 2.85
Hf1 0.5000 0.0000 0.5000 (multiplicity 1)  6 P 2.72-2.74
P1 0.2585 0.0000 0.7309 (multiplicity 2)  1 Hf 2.72, 2 Sm 2.85, 3 La 2.92-3.03
P2 0.2722 0.5000 0.2772 (multiplicity 2)  2 Hf 2.74, 1 Sm 2.85, 3 La 2.91-3.03

Values from the calculation:
energy of formation	-34.12	kcal/mol of atoms

***

Entry 3:
LaHg2Cl | PBE-GGA | relaxed

Unit cell a=3.9077 b=3.9077 c=7.2373 alpha=90.00 beta=90.00 gamma=90.00
Closest atoms and distances in Å follow each position.
Space group P4mm (No. 99)
One atom of each set of equivalent atoms:
La1 0.0000 0.0000 0.0000 (multiplicity 1)  4 Cl 2.99
Hg1 0.0000 0.0000 0.4837 (multiplicity 1)  4 Hg 3.22, 1 La 3.50
Hg2 0.5000 0.5000 0.7110 (multiplicity 1)  4 Hg 3.22, 1 Cl 3.22, 4 La 3.47
Cl1 0.5000 0.5000 0.1566 (multiplicity 1)  4 La 2.99, 1 Hg 3.22

Values from the calculation:
ΔE to the lowest computed polymorph	20	meV/atom
E_form (uncorrected)	-0.819	eV per atom

***

Entry 4:
Tl2FeRh | PBE-GGA | relaxed

Unit cell a=8.7363 b=3.1587 c=5.5794 alpha=90.00 beta=101.31 gamma=90.00
Closest atoms and distances in Å follow each position.
Space group C2/m (No. 12)
One atom of each set of equivalent atoms:
Tl1 0.2504 0.0000 0.2495 (multiplicity 4)  3 Fe 2.81-2.83, 3 Rh 2.82-2.83
Fe1 0.0000 0.5000 0.0000 (multiplicity 2)  6 Tl 2.81-2.83
Rh1 0.0000 0.0000 0.5000 (multiplicity 2)  6 Tl 2.82-2.83

Values from the calculation:
ΔE to the lowest computed polymorph	195	meV/atom
energy of formation	10.58	kcal/mol of atoms

***

Entry 5:
AcTcGeO | PBE-GGA | relaxed

Unit cell a=4.3641 b=4.3641 c=8.6641 alpha=90.00 beta=90.00 gamma=90.00
Closest atoms and distances in Å follow each position.
Space group P4/nmm (No. 129, origin choice 2)
One atom of each set of equivalent atoms:
Ac1 0.2500 0.2500 0.1416 (multiplicity 2)  4 O 2.50
Tc1 0.2500 0.7500 0.5000 (multiplicity 2)  4 Ge 2.46
Ge1 0.2500 0.2500 0.6309 (multiplicity 2)  4 Tc 2.46
O1 0.2500 0.7500 0.0000 (multiplicity 2)  4 Ac 2.50

Values from the calculation:
E_form (uncorrected)	-1.507	eV per atom

***

Entry 6:
PrTmIr | PBE-GGA | relaxed

Unit cell a=4.8805 b=4.8811 c=6.8647 alpha=89.75 beta=89.83 gamma=89.99
Closest atoms and distances in Å follow each position.
Space group P-1 (No. 2)
One atom of each set of equivalent atoms:
Pr1 0.0017 0.4973 0.2500 (multiplicity 2)  4 Ir 2.98-2.99
Tm1 0.4986 0.0022 0.7500 (multiplicity 2)  4 Ir 2.97-3.00
Ir1 0.0000 0.0000 0.0000 (multiplicity 1)  4 Tm 2.97-2.99, 4 Pr 2.98-2.99
Ir2 0.5000 0.5000 0.5000 (multiplicity 1)  4 Tm 2.97-3.00, 4 Pr 2.98-2.99

Values from the calculation:
ΔE to the lowest computed polymorph	40	meV/atom
energy of formation	-13.90	kcal/mol of atoms

***

Number 1: E -3.028 eV per atom. Number 2: E -7.251 eV per atom. Number 3: E -2.664 eV per atom. Number 4: E -4.678 eV per atom. Number 5: E -7.519 eV per atom. Number 6: E -6.640 eV per atom.